[1]
The following is a DFT calculation (PBEsol) of an optimized crystal structure of Be3RuN.

Geometry as POSCAR:
```
Be3RuN
1.0
3.501 0.000 0.000
0.000 3.501 0.000
0.000 0.000 3.501
Be Ru N
3 1 1
direct
0.000 0.000 0.500
0.000 0.500 0.000
0.500 0.000 0.000
0.500 0.500 0.500
0.000 0.000 0.000
```

Its space group is Pm-3m. Its formation energy (no corrections) is -1.04 kcal/mol of atoms. The density of states at the Fermi level comes out at 2.527 states/eV/cell. Its total magnetization is 0.000 μB/f.u.



[2]
The following is a DFT calculation (PBEsol) of an optimized crystal structure of BeRuN2.

Geometry as POSCAR:
```
BeRuN2
1.0
1.415 0.817 5.368
-1.415 0.817 5.368
0.000 -1.634 5.368
Be Ru N
1 1 2
direct
0.000 0.000 0.000
0.500 0.500 0.500
0.387 0.387 0.387
0.613 0.613 0.613
```

Its space group is R-3m. Its formation energy (no corrections) is 10.70 kcal/mol of atoms. The density of states at the Fermi level comes out at 2.141 states/eV/cell. Its total magnetization is 0.000 μB/f.u.



[3]
The following is a DFT calculation (PBEsol) of an optimized crystal structure of BeS2N.

Geometry as POSCAR:
```
BeS2N
1.0
1.686 0.974 5.429
-1.686 0.974 5.429
0.000 -1.947 5.429
Be S N
1 2 1
direct
0.000 0.000 0.000
0.404 0.404 0.404
0.596 0.596 0.596
0.500 0.500 0.500
```

Its space group is R-3m. Its formation energy (no corrections) is 5.07 kcal/mol of atoms. The density of states at the Fermi level comes out at 1.161 states/eV/cell. Its total magnetization is 0.000 μB/f.u.



[4]
The following is a DFT calculation (PBEsol) of an optimized crystal structure of BeS2N.

Geometry as POSCAR:
```
BeS2N
1.0
0.000 2.800 2.800
2.800 0.000 2.800
2.800 2.800 0.000
Be S N
1 2 1
direct
0.000 0.000 0.000
0.250 0.250 0.250
0.750 0.750 0.750
0.500 0.500 0.500
```

Its space group is Fm-3m. Its formation energy (no corrections) is 31.30 kcal/mol of atoms. The density of states at the Fermi level comes out at 2.652 states/eV/cell. Its total magnetization is 0.310 μB/f.u.



[5]
The following is a DFT calculation (PBEsol) of an optimized crystal structure of BeS2N2.

Geometry as POSCAR:
```
BeS2N2
1.0
3.243 0.000 0.000
0.000 3.243 0.000
0.000 0.000 6.592
Be S N
1 2 2
direct
0.000 0.000 0.000
0.500 0.500 0.000
0.500 0.500 0.500
0.000 0.500 0.500
0.500 0.000 0.500
```

Its space group is P4/mmm. Its formation energy (no corrections) is 24.73 kcal/mol of atoms. The density of states at the Fermi level comes out at 1.582 states/eV/cell. Its total magnetization is 0.000 μB/f.u.



[6]
The following is a DFT calculation (PBEsol) of an optimized crystal structure of BeSeS2N.

Geometry as POSCAR:
```
BeSeS2N
1.0
4.588 0.000 0.000
0.000 4.588 0.000
0.000 0.000 3.177
Be Se S N
1 1 2 1
direct
0.000 0.000 0.000
0.500 0.500 0.500
0.000 0.500 0.000
0.500 0.000 0.000
0.000 0.000 0.500
```

Its space group is P4/mmm. Its formation energy (no corrections) is 14.31 kcal/mol of atoms. The density of states at the Fermi level comes out at 4.211 states/eV/cell. Its total magnetization is 0.002 μB/f.u.



Copy entry 5 word for word.
The following is a DFT calculation (PBEsol) of an optimized crystal structure of BeS2N2.

Geometry as POSCAR:
```
BeS2N2
1.0
3.243 0.000 0.000
0.000 3.243 0.000
0.000 0.000 6.592
Be S N
1 2 2
direct
0.000 0.000 0.000
0.500 0.500 0.000
0.500 0.500 0.500
0.000 0.500 0.500
0.500 0.000 0.500
```

Its space group is P4/mmm. Its formation energy (no corrections) is 24.73 kcal/mol of atoms. The density of states at the Fermi level comes out at 1.582 states/eV/cell. Its total magnetization is 0.000 μB/f.u.